Entry from Alexandria via LeMat-Bulk: a geometry-optimized MnNb6Tc5 structure (PBE-GGA).

Properties
Space-group type: Immm, No. 71
Formation energy: -300.9 meV/atom
Total DFT energy (no corrections): -125.03 eV for the cell shown

a b c (Å): 7.780 7.780 7.780
angles (deg): 146.44 131.76 60.04
Positions (direct):
Mn1 0.000 0.000 0.000
Nb1 0.083 0.835 0.248
Nb2 0.247 0.500 0.747
Nb3 0.413 0.165 0.248
Nb4 0.587 0.835 0.752
Nb5 0.753 0.500 0.253
Nb6 0.917 0.165 0.752
Tc1 0.166 0.666 0.500
Tc2 0.333 0.333 0.000
Tc3 0.500 0.000 0.500
Tc4 0.667 0.667 0.000
Tc5 0.834 0.334 0.500